First-principles (PBE-GGA) data for OsRuRh2 after structural relaxation, as listed in Alexandria.

Unit cell a=4.6889 b=4.6889 c=4.6889 alpha=131.59 beta=131.59 gamma=70.88
Last column: nearest neighbours and their distance in Å.
Fractional coordinates of all 4 atoms:
Os (0.7500, 0.2500, 0.5000)  4 Ru 2.71, 8 Rh 2.71-2.72
Rh (0.0000, 0.0000, 0.0000)  4 Os 2.71, 4 Rh 2.71, 4 Ru 2.72
Rh (0.2500, 0.7500, 0.5000)  4 Ru 2.71, 4 Rh 2.71, 4 Os 2.72
Ru (0.5000, 0.5000, 0.0000)  4 Os 2.71, 8 Rh 2.71-2.72

Calculated values
Energy of formation, eV/atom: 0.086
Magnetization, μB/f.u.: 0.00
Energy above the most stable polymorph in this dataset, eV/atom: 0.037